# MgSbHRh2 | Alexandria | PBE | optimized geometry
data_MgSbHRh2
_space_group_name_H-M_alt 'P 4/m m m'
_space_group_IT_number 123
_space_group_name_Hall '-P 4 2'
_cell_length_a 4.1357
_cell_length_b 4.1357
_cell_length_c 3.9490
_cell_angle_alpha 90.00
_cell_angle_beta 90.00
_cell_angle_gamma 90.00
loop_
_atom_site_label
_atom_site_type_symbol
_atom_site_fract_x
_atom_site_fract_y
_atom_site_fract_z
Mg1 Mg 0.0000 0.0000 0.0000
Sb1 Sb 0.5000 0.5000 0.0000
H1 H 0.0000 0.0000 0.5000
Rh1 Rh 0.0000 0.5000 0.5000
# VASP energy   -5.085 eV/atom
# Mass density   8.7 g/cm3